Entry 1:
Li2In2Te after structural relaxation. Source: the Alexandria database, functional GGA-PBE.

a b c (Å): 7.2640 7.2640 4.6033
angles (deg): 90.00 90.00 90.00
With the nearest neighbours (Å) after each atom.
Fractional coordinates of all 10 atoms:
Te: 0.0000 0.0000 0.0000  4 Li 2.76
Te: 0.5000 0.5000 0.0000  4 Li 2.76
Li: 0.3487 0.8487 0.0000  2 Te 2.76, 2 In 3.03
Li: 0.8487 0.6513 0.0000  2 Te 2.76, 2 In 3.03
Li: 0.6513 0.1513 0.0000  2 Te 2.76, 2 In 3.03
Li: 0.1513 0.3487 0.0000  2 Te 2.76, 2 In 3.03
In: 0.1570 0.6570 0.5000  6 Li 3.03-3.21, 1 In 3.23
In: 0.6570 0.8430 0.5000  6 Li 3.03-3.21, 1 In 3.23
In: 0.8430 0.3430 0.5000  6 Li 3.03-3.21, 1 In 3.23
In: 0.3430 0.1570 0.5000  6 Li 3.03-3.21, 1 In 3.23

- space group = P4/mbm
- uncorrected formation energy (eV/atom) = -0.304
- V (Å³ per cell) = 242.9
- relative energy among the computed polymorphs (eV/atom) = 0.000

***

Entry 2:
TbGa4Pt6 after structural relaxation. Source: the Alexandria database, functional GGA-PBE.

a b c (Å): 6.6433 6.6433 6.6433
angles (deg): 90.54 119.69 119.69
With the nearest neighbours (Å) after each atom.
Fractional coordinates of all 11 atoms:
Tb: 0.0000 0.0000 0.0000  4 Ga 3.22, 8 Pt 3.34
Ga: 0.0000 0.1236 0.5331  4 Pt 2.40-2.66
Ga: 0.5904 0.4669 0.4669  4 Pt 2.40-2.66
Ga: 0.0000 0.5331 0.1236  4 Pt 2.40-2.66
Ga: 0.4096 0.8764 0.8764  4 Pt 2.40-2.66
Pt: 0.0000 0.7722 0.4468  4 Ga 2.40-2.66
Pt: 0.0000 0.4468 0.7722  4 Ga 2.40-2.66
Pt: 0.6746 0.2278 0.2278  4 Ga 2.40-2.66
Pt: 0.5000 0.0000 0.5000  4 Pt 2.70, 4 Ga 2.89
Pt: 0.3254 0.5532 0.5532  4 Ga 2.40-2.66
Pt: 0.5000 0.5000 0.0000  4 Pt 2.70, 4 Ga 2.89

- formation energy from the elements (kJ/mol of formula units) = -559
- space group = I-42m
- V (Å³ per cell) = 208.3
- relative energy among the computed polymorphs (eV/atom) = 0.278

***

Entry 3:
AgBi2Br6 after structural relaxation. Source: the Alexandria database, functional GGA-PBE.

a b c (Å): 6.1536 7.5527 8.9519
angles (deg): 110.38 90.00 114.04
With the nearest neighbours (Å) after each atom.
Fractional coordinates of all 9 atoms:
Ag: 0.0000 0.0000 0.5000  2 Br 2.56
Bi: 0.8097 0.6194 0.8816  3 Br 2.67-2.95
Bi: 0.1903 0.3806 0.1184  3 Br 2.67-2.95
Br: 0.9893 0.9786 0.7792  1 Ag 2.56
Br: 0.6894 0.3787 0.0884  3 Bi 2.92-3.09
Br: 0.3106 0.6213 0.9116  3 Bi 2.92-3.09
Br: 0.6501 0.3001 0.5945  1 Bi 2.67
Br: 0.3499 0.6999 0.4055  1 Bi 2.67
Br: 0.0107 0.0214 0.2208  1 Ag 2.56

- space group = C2/m
- uncorrected formation energy (eV/atom) = -0.513
- V (Å³ per cell) = 351.2

***

Entry 4:
ErCdGe after structural relaxation. Source: the Alexandria database, functional GGA-PBE.

a b c (Å): 3.3891 3.3891 6.4243
angles (deg): 105.29 105.29 90.00
With the nearest neighbours (Å) after each atom.
Fractional coordinates of all 3 atoms:
Ge: 0.2841 0.2841 0.5682  4 Cd 3.02, 4 Er 3.04
Er: 0.6277 0.6277 0.2555  4 Ge 3.04, 4 Cd 3.29, 4 Er 3.39
Cd: 0.9382 0.9382 0.8763  4 Ge 3.02, 4 Er 3.29

- formation energy from the elements (kJ/mol of formula units) = -71
- space group = I4mm
- V (Å³ per cell) = 68.5